# 1
Computed, not measured: GaB2S after structural relaxation at the PBE-GGA level of DFT.

Calculated values
ΔE_f (raw) = 1.57 eV per formula unit

a b c (Å): 4.7485 4.7485 9.1094
angles (deg): 90.00 90.00 90.00
Last column: nearest neighbours and their distance in Å.
Atoms (fractional coordinates):
Ga 0.0000 0.0000 0.0000  4 B 2.13
Ga 0.0000 0.5000 0.2500  4 B 2.13
Ga 0.5000 0.0000 0.7500  4 B 2.13
Ga 0.5000 0.5000 0.5000  4 B 2.13
B 0.2150 0.2500 0.6250  2 S 1.94, 2 Ga 2.13
B 0.2500 0.7150 0.8750  2 S 1.94, 2 Ga 2.13
B 0.2500 0.7850 0.3750  2 S 1.94, 2 Ga 2.13
B 0.2850 0.2500 0.1250  2 S 1.94, 2 Ga 2.13
B 0.7150 0.7500 0.1250  2 S 1.94, 2 Ga 2.13
B 0.7500 0.2150 0.3750  2 S 1.94, 2 Ga 2.13
B 0.7500 0.2850 0.8750  2 S 1.94, 2 Ga 2.13
B 0.7850 0.7500 0.6250  2 S 1.94, 2 Ga 2.13
S 0.0000 0.0000 0.5000  4 B 1.94
S 0.0000 0.5000 0.7500  4 B 1.94
S 0.5000 0.0000 0.2500  4 B 1.94
S 0.5000 0.5000 0.0000  4 B 1.94

***

# 2
Computed, not measured: GaB2S2 after structural relaxation at the PBE-GGA level of DFT.

Calculated values
ΔE_f (raw) = -0.55 eV per formula unit

a b c (Å): 7.6562 7.6562 3.0070
angles (deg): 90.00 90.00 90.00
Last column: nearest neighbours and their distance in Å.
Atoms (fractional coordinates):
Ga 0.0000 0.0000 0.0000  2 Ga 3.01, 8 S 3.21, 4 B 3.30
Ga 0.5000 0.5000 0.0000  2 Ga 3.01, 8 S 3.21, 4 B 3.30
B 0.0752 0.4248 0.0000  1 B 1.63
B 0.4248 0.9248 0.0000  1 B 1.63
B 0.5752 0.0752 0.0000  1 B 1.63
B 0.9248 0.5752 0.0000  1 B 1.63
S 0.1735 0.3265 0.5000  2 B 1.84
S 0.3265 0.8265 0.5000  2 B 1.84
S 0.6735 0.1735 0.5000  2 B 1.84
S 0.8265 0.6735 0.5000  2 B 1.84

***

# 3
Computed, not measured: GaBS3 after structural relaxation at the PBE-GGA level of DFT.

Calculated values
ΔE_f (raw) = 2.66 eV per formula unit

a b c (Å): 4.2441 4.2441 4.2441
angles (deg): 90.00 90.00 90.00
Last column: nearest neighbours and their distance in Å.
Atoms (fractional coordinates):
Ga 0.0000 0.0000 0.0000  12 S 3.00
B 0.5000 0.5000 0.5000  6 S 2.12
S 0.0000 0.5000 0.5000  2 B 2.12
S 0.5000 0.0000 0.5000  2 B 2.12
S 0.5000 0.5000 0.0000  2 B 2.12

***

# 4
Computed, not measured: GaBS3 after structural relaxation at the PBE-GGA level of DFT.

Calculated values
ΔE_f (raw) = 6.10 eV per formula unit

a b c (Å): 4.7031 4.7031 4.7031
angles (deg): 90.00 90.00 90.00
Last column: nearest neighbours and their distance in Å.
Atoms (fractional coordinates):
Ga 0.0000 0.0000 0.0000  6 S 2.35
B 0.5000 0.5000 0.5000  12 S 3.33
S 0.0000 0.0000 0.5000  2 Ga 2.35
S 0.0000 0.5000 0.0000  2 Ga 2.35
S 0.5000 0.0000 0.0000  2 Ga 2.35

***

# 5
Computed, not measured: GaBS3 after structural relaxation at the PBE-GGA level of DFT.

Calculated values
ΔE_f (raw) = -1.71 eV per formula unit

a b c (Å): 6.0852 6.0852 10.1667
angles (deg): 93.84 93.84 31.35
Last column: nearest neighbours and their distance in Å.
Atoms (fractional coordinates):
Ga 0.1491 0.1491 0.3968  5 S 2.32-2.50
Ga 0.8509 0.8509 0.6032  5 S 2.32-2.50
B 0.4176 0.4176 0.2390  4 S 1.94-2.03
B 0.5824 0.5824 0.7610  4 S 1.94-2.03
S 0.1366 0.1366 0.8502  2 B 1.96
S 0.3522 0.3522 0.4184  1 B 2.03
S 0.4166 0.4166 0.7502  1 B 1.94
S 0.5834 0.5834 0.2498  1 B 1.94
S 0.6478 0.6478 0.5816  1 B 2.03
S 0.8634 0.8634 0.1498  2 B 1.96

***

# 6
Computed, not measured: GaB2S2 after structural relaxation at the PBE-GGA level of DFT.

Calculated values
ΔE_f (raw) = 3.00 eV per formula unit

a b c (Å): 4.1924 4.1924 6.9956
angles (deg): 90.00 90.00 90.00
Last column: nearest neighbours and their distance in Å.
Atoms (fractional coordinates):
Ga 0.0000 0.0000 0.0000  2 B 2.61, 8 S 2.73
Ga 0.5000 0.5000 0.5000  2 B 2.61, 8 S 2.73
B 0.0000 0.0000 0.3724  1 B 1.79
B 0.0000 0.0000 0.6276  1 B 1.79
B 0.5000 0.5000 0.1276  1 B 1.79
B 0.5000 0.5000 0.8724  1 B 1.79
S 0.0000 0.5000 0.2500  4 B 2.26
S 0.0000 0.5000 0.7500  4 B 2.26
S 0.5000 0.0000 0.2500  4 B 2.26
S 0.5000 0.0000 0.7500  4 B 2.26

***

# 7
Computed, not measured: GaB2S after structural relaxation at the PBE-GGA level of DFT.

Calculated values
ΔE_f (raw) = 6.46 eV per formula unit

a b c (Å): 5.6930 5.6930 5.6930
angles (deg): 90.00 90.00 90.00
Last column: nearest neighbours and their distance in Å.
Atoms (fractional coordinates):
Ga 0.0000 0.0000 0.0000  8 B 2.47
Ga 0.0000 0.5000 0.5000  8 B 2.47
Ga 0.5000 0.0000 0.5000  8 B 2.47
Ga 0.5000 0.5000 0.0000  8 B 2.47
B 0.2500 0.2500 0.2500  4 S 2.47, 4 Ga 2.47
B 0.2500 0.2500 0.7500  4 Ga 2.47, 4 S 2.47
B 0.2500 0.7500 0.2500  4 Ga 2.47, 4 S 2.47
B 0.2500 0.7500 0.7500  4 S 2.47, 4 Ga 2.47
B 0.7500 0.2500 0.2500  4 Ga 2.47, 4 S 2.47
B 0.7500 0.2500 0.7500  4 S 2.47, 4 Ga 2.47
B 0.7500 0.7500 0.2500  4 S 2.47, 4 Ga 2.47
B 0.7500 0.7500 0.7500  4 Ga 2.47, 4 S 2.47
S 0.0000 0.0000 0.5000  8 B 2.47
S 0.0000 0.5000 0.0000  8 B 2.47
S 0.5000 0.0000 0.0000  8 B 2.47
S 0.5000 0.5000 0.5000  8 B 2.47

***

# 8
Computed, not measured: Ga2BS after structural relaxation at the PBE-GGA level of DFT.

Calculated values
ΔE_f (raw) = 0.03 eV per formula unit

a b c (Å): 5.2555 5.2555 10.2865
angles (deg): 90.00 90.00 90.00
Last column: nearest neighbours and their distance in Å.
Atoms (fractional coordinates):
Ga 0.1928 0.2500 0.1250  2 B 2.10
Ga 0.2500 0.6928 0.3750  2 B 2.10
Ga 0.2500 0.8072 0.8750  2 B 2.10
Ga 0.3072 0.2500 0.6250  2 B 2.10
Ga 0.6928 0.7500 0.6250  2 B 2.10
Ga 0.7500 0.1928 0.8750  2 B 2.10
Ga 0.7500 0.3072 0.3750  2 B 2.10
Ga 0.8072 0.7500 0.1250  2 B 2.10
B 0.0000 0.0000 0.0000  4 Ga 2.10
B 0.0000 0.5000 0.2500  4 Ga 2.10
B 0.5000 0.0000 0.7500  4 Ga 2.10
B 0.5000 0.5000 0.5000  4 Ga 2.10
S 0.0000 0.0000 0.5000  4 Ga 2.45
S 0.0000 0.5000 0.7500  4 Ga 2.45
S 0.5000 0.0000 0.2500  4 Ga 2.45
S 0.5000 0.5000 0.0000  4 Ga 2.45